BeSbTe2Ru PBE relaxed; total magnetization = 0.00 Bohr magnetons per cell; space-group type = No. 123; uncorrected energy = -18.77 eV/cell; calculated density = 7.3 g/cm³; DOS(E_F) = 1.122 states/eV/atom
1.0
4.8786 0.0000 0.0000
0.0000 4.8786 0.0000
0.0000 0.0000 4.6292
Be Sb Te Ru
1 1 2 1
Direct
0.0000 0.0000 0.0000 Be
0.0000 0.0000 0.5000 Sb
0.0000 0.5000 0.0000 Te
0.5000 0.0000 0.0000 Te
0.5000 0.5000 0.5000 Ru